The following is a PBE calculation of a geometry-optimized TbHoHf structure, from the Alexandria database.

a = 9.8879 Å, b = 3.3477 Å, c = 14.4345 Å
α = 110.37°, β = 22.08°, γ = 109.81°
Fractional positions:
1 Hf 0.3277 0.8972 0.7833
2 Hf 0.7085 0.1543 0.3675
3 Tb 0.5025 0.7268 0.8862
4 Tb 0.5337 0.3247 0.2646
5 Ho 0.9584 0.5617 0.8062
6 Ho 0.0777 0.4898 0.3447

Calculated values
Energy relative to the lowest polymorph listed for this composition (eV per atom): 0.001
Magnetic moment (μB per atom): 0.000
Formation enthalpy at 0 K (eV per atom): 0.119